VASP calculation (PBE) on a relaxed structure of Ce2BiIr.

Properties
Formation energy from the elements (eV/atom): -0.6273
Energy above the lowest structure with this stoichiometry (eV/f.u.): 0.28

a = 3.4529 Å, b = 3.4529 Å, c = 8.5699 Å
α = 90.00°, β = 90.00°, γ = 90.00°
Space group P4/mmm (No. 123)
Asymmetric unit:
Ce (0.0000, 0.0000, 0.2035) (multiplicity 2)
Bi (0.5000, 0.5000, 0.5000) (multiplicity 1)
Ir (0.5000, 0.5000, 0.0000) (multiplicity 1)

***

VASP calculation (PBE) on a relaxed structure of Ce3BiIr.

Properties
Formation energy from the elements (eV/atom): -0.6652
Energy above the lowest structure with this stoichiometry (eV/f.u.): 0.00

a = 8.3727 Å, b = 4.5283 Å, c = 15.0503 Å
α = 90.00°, β = 90.00°, γ = 90.00°
Space group Pnma (No. 62)
Asymmetric unit:
Ce (0.0266, 0.2500, 0.0994) (multiplicity 4)
Ce (0.1290, 0.2500, 0.5082) (multiplicity 4)
Ce (0.1855, 0.7500, 0.2811) (multiplicity 4)
Bi (0.0917, 0.7500, 0.6801) (multiplicity 4)
Ir (0.1873, 0.2500, 0.9414) (multiplicity 4)